Record 1
Below is crystalline NpZn17Ga at its relaxed geometry, with properties calculated at the PBE level.

Lattice parameters (Å, degrees): 6.8279 6.8279 6.8279 81.77 81.77 81.77
Fractional coordinates of all 19 atoms:
1 Np 0.0000 0.0000 0.0000
2 Zn 0.0089 0.0089 0.5014
3 Zn 0.0089 0.5014 0.0089
4 Zn 0.1619 0.6763 0.6763
5 Zn 0.3138 0.3138 0.8117
6 Zn 0.3138 0.8117 0.3138
7 Zn 0.3609 0.6547 0.9789
8 Zn 0.3609 0.9789 0.6547
9 Zn 0.5014 0.0089 0.0089
10 Zn 0.5635 0.5635 0.5635
11 Zn 0.6547 0.3609 0.9789
12 Zn 0.6547 0.9789 0.3609
13 Zn 0.6763 0.1619 0.6763
14 Zn 0.6763 0.6763 0.1619
15 Zn 0.7619 0.7619 0.7619
16 Zn 0.8117 0.3138 0.3138
17 Zn 0.9789 0.3609 0.6547
18 Zn 0.9789 0.6547 0.3609
19 Ga 0.2555 0.2555 0.2555

Calculated values
The density of states at the Fermi level comes out at 0.81 states/eV/atom. The value obtained for the calculated total energy is -1.982 eV/atom. Its formation energy is -0.001 eV/atom. As for the symmetry: R3m.

Record 2
Below is crystalline KTl2Cd at its relaxed geometry, with properties calculated at the PBE level.

Lattice parameters (Å, degrees): 3.5408 4.5526 8.0525 90.00 98.29 90.00
Fractional coordinates of all 4 atoms:
1 K 0.0000 0.0000 0.0000
2 Tl 0.4203 0.5000 0.7053
3 Tl 0.5797 0.5000 0.2947
4 Cd 0.0000 0.0000 0.5000

Calculated values
The density of states at the Fermi level comes out at 0.35 states/eV/atom. The value obtained for the calculated total energy is -1.746 eV/atom. Its formation energy is -0.060 eV/atom. As for the symmetry: P2/m.

Record 3
Below is crystalline PmSm2Hg7 at its relaxed geometry, with properties calculated at the PBE level.

Lattice parameters (Å, degrees): 5.0476 5.0476 12.2405 90.00 90.00 120.00
Fractional coordinates of all 10 atoms:
1 Pm 0.0000 0.0000 0.0000
2 Sm 0.3333 0.6667 0.6803
3 Sm 0.6667 0.3333 0.3620
4 Hg 0.0000 0.0000 0.2710
5 Hg 0.0000 0.0000 0.5505
6 Hg 0.3333 0.6667 0.1806
7 Hg 0.3333 0.6667 0.4368
8 Hg 0.3333 0.6667 0.9236
9 Hg 0.6667 0.3333 0.0926
10 Hg 0.6667 0.3333 0.8111

Calculated values
The density of states at the Fermi level comes out at 0.42 states/eV/atom. The value obtained for the calculated total energy is -1.947 eV/atom. Its formation energy is -0.317 eV/atom. As for the symmetry: P3m1.

Record 4
Below is crystalline CrCuOs at its relaxed geometry, with properties calculated at the PBE level.

Lattice parameters (Å, degrees): 3.9815 3.9815 3.9815 60.00 60.00 60.00
Fractional coordinates of all 3 atoms:
1 Cr 0.0000 0.0000 0.0000
2 Cu 0.7500 0.7500 0.7500
3 Os 0.2500 0.2500 0.2500

Calculated values
The density of states at the Fermi level comes out at 0.81 states/eV/atom. The value obtained for the calculated total energy is -7.675 eV/atom. The energy above the most stable polymorph in this dataset comes out at 438.4 meV per atom. Its formation energy is 0.641 eV/atom. As for the symmetry: F-43m.

> Which formula does entry 3 have?

PmSm2Hg7

> Which formula does entry 4 have?

CrCuOs

> Which value of calculated total energy does entry 3 give?

-1.947 eV/atom

> The highest calculated total energy belongs to which entry?

KTl2Cd